DFT (PBE) results for crystalline Ir2Ru at its relaxed geometry.

Computed properties:
**DOS at the Fermi energy**: 1.50 states/eV/atom

Cell: 4.348 4.348 5.387 Å, 90.00 90.00 120.00°
Atoms (fractional coordinates):
Ir1 0.000 0.000 0.500
Ir2 0.333 0.667 0.250
Ir3 0.667 0.333 0.750
Ir4 0.000 0.000 0.000
Ru1 0.333 0.667 0.750
Ru2 0.667 0.333 0.250



DFT (PBE) results for crystalline Ir5Ru at its relaxed geometry.

Computed properties:
**DOS at the Fermi energy**: 0.83 states/eV/atom

Cell: 3.860 3.867 6.104 Å, 108.47 90.00 90.00°
Atoms (fractional coordinates):
Ir1 0.500 0.500 0.000
Ir2 0.500 0.834 0.668
Ir3 0.000 0.665 0.329
Ir4 0.000 0.335 0.671
Ir5 0.500 0.166 0.332
Ru1 0.000 0.000 0.000



DFT (PBE) results for crystalline Ir2Ru at its relaxed geometry.

Computed properties:
**DOS at the Fermi energy**: 1.24 states/eV/atom

Cell: 4.345 4.345 2.748 Å, 90.00 90.00 90.00°
Atoms (fractional coordinates):
Ru1 0.000 0.000 0.000
Ir1 0.000 0.500 0.500
Ir2 0.500 0.000 0.500



DFT (PBE) results for crystalline Ir2Ru at its relaxed geometry.

Computed properties:
**DOS at the Fermi energy**: 1.68 states/eV/atom

Cell: 5.091 5.091 5.091 Å, 60.00 60.00 60.00°
Atoms (fractional coordinates):
Ir1 0.625 0.625 0.625
Ir2 0.625 0.625 0.125
Ir3 0.125 0.625 0.625
Ir4 0.625 0.125 0.625
Ru1 0.000 0.000 0.000
Ru2 0.250 0.250 0.250



DFT (PBE) results for crystalline Ir2Ru at its relaxed geometry.

Computed properties:
**DOS at the Fermi energy**: 1.01 states/eV/atom

Cell: 5.983 5.983 5.983 Å, 90.00 90.00 90.00°
Atoms (fractional coordinates):
Ir1 0.114 0.614 0.886
Ir2 0.886 0.386 0.114
Ir3 0.614 0.886 0.114
Ir4 0.614 0.614 0.614
Ir5 0.886 0.114 0.614
Ir6 0.114 0.886 0.386
Ir7 0.386 0.114 0.886
Ir8 0.386 0.386 0.386
Ru1 0.000 0.000 0.000
Ru2 0.500 0.000 0.500
Ru3 0.000 0.500 0.500
Ru4 0.500 0.500 0.000



DFT (PBE) results for crystalline Ir3Ru5 at its relaxed geometry.

Computed properties:
**DOS at the Fermi energy**: 1.33 states/eV/atom

Cell: 7.722 7.722 4.656 Å, 90.00 90.00 60.00°
Atoms (fractional coordinates):
Ir1 0.604 0.396 0.750
Ir2 0.396 0.604 0.250
Ir3 0.000 0.396 0.250
Ir4 0.396 0.000 0.750
Ir5 0.604 0.000 0.250
Ir6 0.000 0.604 0.750
Ru1 0.333 0.333 0.500
Ru2 0.667 0.667 0.000
Ru3 0.199 0.801 0.750
Ru4 0.333 0.333 0.000
Ru5 0.000 0.199 0.750
Ru6 0.801 0.199 0.250
Ru7 0.667 0.667 0.500
Ru8 0.801 0.000 0.750
Ru9 0.000 0.801 0.250
Ru10 0.199 0.000 0.250



How do the records compare in E? In the order shown, they have -52.34; -53.74; -24.39; -50.14; -96.15; -139.21 eV per cell.